Compound: ZnSiPb2
Source: Alexandria
Functional: SCAN
Structure: PBEsol geometry

```
data_ZnSiPb2
_chemical_formula_sum 'Zn1 Si1 Pb2'
_space_group_name_H-M_alt 'P 1'
_space_group_IT_number 1
_cell_length_a 5.084
_cell_length_b 5.084
_cell_length_c 5.084
_cell_angle_alpha 60.00
_cell_angle_beta 60.00
_cell_angle_gamma 60.00
loop_
_space_group_symop_operation_xyz
'x,y,z'
loop_
_atom_site_label
_atom_site_type_symbol
_atom_site_fract_x
_atom_site_fract_y
_atom_site_fract_z
Pb1 Pb 0.000 0.000 0.000
Pb2 Pb 0.250 0.250 0.250
Si1 Si 0.500 0.500 0.500
Zn1 Zn 0.750 0.750 0.750
```

The calculation puts the total energy at -43.21 eV per atom. As for the density of states at the Fermi level: 2.38 states/eV/cell. The magnetic moment is 0.00 Bohr magnetons per cell. Its space group is F-43m. The energy relative to the elements, uncorrected comes out at 0.562 eV/atom.